# Mg2Al6Pt (PBE-GGA, relaxed)
data_Mg2Al6Pt
_chemical_formula_sum 'Mg4 Al12 Pt2'
_cell_length_a 9.4401
_cell_length_b 5.4466
_cell_length_c 6.3215
_cell_angle_alpha 90.00
_cell_angle_beta 90.12
_cell_angle_gamma 90.00
_space_group_name_H-M_alt 'C 1 2/m 1'
_space_group_IT_number 12
loop_
_space_group_symop_operation_xyz
'x,y,z'
'-x,-y,-z'
'-x,y,-z'
'x,-y,z'
'x+1/2,y+1/2,z'
'-x+1/2,-y+1/2,-z'
'-x+1/2,y+1/2,-z'
'x+1/2,-y+1/2,z'
loop_
_atom_site_label
_atom_site_fract_x
_atom_site_fract_y
_atom_site_fract_z
Mg1 0.1663 0.0000 0.4082
Al1 0.0850 0.2463 0.8249
Al2 0.1688 0.5000 0.1763
Pt1 0.0000 0.5000 0.5000
# V, Å³ per atom: 18.06
# DFT formation energy, eV/atom: -0.253
# Calculated density, g/cm³: 4.14
# Total moment, μB/f.u.: 0.00